# Ti2PdAuF | Alexandria via LeMat-Bulk | PBE | relaxed
# Raw formation energy, eV per formula unit: 2.64
# V, A^3/atom: 21.201
# Energy, eV per cell: -23.50
# Total magnetization, μB per formula unit: 2.7
data_Ti2PdAuF
_cell_length_a 5.0132
_cell_length_b 5.0132
_cell_length_c 4.2179
_cell_angle_alpha 90.00
_cell_angle_beta 90.00
_cell_angle_gamma 90.00
_symmetry_space_group_name_H-M 'P 4/m m m'
_symmetry_Int_Tables_number 123
_symmetry_space_group_name_Hall '-P 4 2'
loop_
_atom_site_label
_atom_site_fract_x
_atom_site_fract_y
_atom_site_fract_z
Ti1 0.0000 0.5000 0.0000
Pd1 0.0000 0.0000 0.5000
Au1 0.5000 0.5000 0.0000
F1 0.5000 0.5000 0.5000